NdBiPb PBE optimized geometry; VASP energy = -12.93 eV for the cell shown
1.0
0.0000 3.7730 3.7730
3.7730 0.0000 3.7730
3.7730 3.7730 0.0000
Nd Bi Pb
1 1 1
direct
0.0000 0.0000 0.0000
0.5000 0.5000 0.5000
0.7500 0.7500 0.7500